Material: Mg3Ga4Ag
Method: DFT, GGA-PBE
State: optimized geometry

Calculated values
magnetic moment	0.0	μB per formula unit
SG	Immm
calculated formation energy	-8.92	kJ/mol of atoms
E_tot	-0.094	Ha/atom

Geometry as extended XYZ:
```
8
Lattice="3.092 0.000 0.000 0.000 5.504 0.000 -1.546 -2.752 9.098" Properties=species:S:1:pos:R:3 pbc="T T T"
Mg 0.000 0.000 4.293
Mg 1.546 2.752 4.804
Mg 0.000 2.752 0.000
Ga 0.000 1.337 6.826
Ga 1.546 1.415 2.271
Ga 1.546 4.089 2.271
Ga 0.000 -1.337 6.826
Ag 1.546 0.000 0.000
```